[1]
{"formula": "K2AlTc", "functional": "PBE-GGA", "state": "optimized geometry", "cell": [[-2.702, 2.807, 3.612], [-4.399, -2.022, 2.189], [0.020, -1.508, 5.094]], "species": ["K", "K", "Al", "Tc"], "fractional_positions": [[0.000, 0.000, 0.000], [0.250, 0.250, 0.250], [0.500, 0.500, 0.500], [0.750, 0.750, 0.750]], "spacegroup": "No. 216", "delta_e_f_ev_per_atom": 1.117}



[2]
{"formula": "K2AlTc", "functional": "PBE-GGA", "state": "optimized geometry", "cell": [[-2.216, 4.026, -0.708], [-3.781, -2.325, -1.387], [-1.868, -0.103, 5.264]], "species": ["Al", "K", "Tc", "K"], "fractional_positions": [[0.500, 0.500, 0.750], [0.000, 0.000, 0.498], [0.500, 0.500, 0.250], [0.000, 0.000, 0.002]], "spacegroup": "No. 123", "delta_e_f_ev_per_atom": 1.200}



[3]
{"formula": "K2AlTc", "functional": "PBE-GGA", "state": "optimized geometry", "cell": [[-0.088, 3.435, 0.945], [-2.432, -0.750, 2.498], [7.400, -1.708, 6.897]], "species": ["K", "Tc", "Al", "K"], "fractional_positions": [[0.000, 0.863, 0.919], [0.000, 0.375, 0.625], [0.500, 0.875, 0.625], [0.500, 0.387, 0.331]], "spacegroup": "No. 6", "delta_e_f_ev_per_atom": 0.430}



[4]
{"formula": "K2AlTc", "functional": "PBE-GGA", "state": "optimized geometry", "cell": [[2.834, 0.000, 0.000], [0.000, 2.834, 0.000], [0.000, 0.000, 11.803]], "species": ["Tc", "K", "Al", "K"], "fractional_positions": [[0.500, 0.500, 0.250], [0.000, 0.000, 0.012], [0.500, 0.500, 0.750], [0.000, 0.000, 0.488]], "spacegroup": "No. 123", "delta_e_f_ev_per_atom": 1.033}



[5]
{"formula": "K2AlTc", "functional": "PBE-GGA", "state": "optimized geometry", "cell": [[12.152, -0.011, -0.006], [11.786, 2.959, -0.006], [11.786, 1.452, 2.579]], "species": ["K", "Tc", "Al", "K"], "fractional_positions": [[0.003, 0.003, 0.003], [0.750, 0.750, 0.750], [0.250, 0.250, 0.250], [0.497, 0.497, 0.497]], "spacegroup": "No. 166", "delta_e_f_ev_per_atom": 1.113}



[6]
{"formula": "K2AlTc", "functional": "PBE-GGA", "state": "optimized geometry", "cell": [[6.558, -0.016, 0.006], [2.573, 6.032, -0.006], [-3.908, -4.007, 3.419]], "species": ["K", "Tc", "K", "Al"], "fractional_positions": [[0.026, 0.026, 0.000], [0.432, 0.432, 0.000], [0.726, 0.226, 0.500], [0.316, 0.816, 0.500]], "spacegroup": "No. 44", "delta_e_f_ev_per_atom": 0.848}



[7]
{"formula": "KAlTc", "functional": "PBE-GGA", "state": "optimized geometry", "cell": [[4.782, 0.000, 0.000], [2.391, 4.141, 0.000], [2.391, 1.380, 3.904]], "species": ["Al", "K", "Tc"], "fractional_positions": [[0.000, 0.000, 0.000], [0.500, 0.500, 0.500], [0.750, 0.750, 0.750]], "relative_energy_mev_per_atom": 883.3, "spacegroup": "No. 216", "delta_e_f_ev_per_atom": 1.379}



[8]
{"formula": "KAlTc", "functional": "PBE-GGA", "state": "optimized geometry", "cell": [[-5.420, -0.205, -3.977], [-1.357, -1.705, -6.363], [2.951, -1.370, 5.887]], "species": ["K", "Al", "Tc"], "fractional_positions": [[0.331, 0.331, 0.000], [0.073, 0.073, 0.000], [0.596, 0.596, 0.000]], "relative_energy_mev_per_atom": 13.8, "spacegroup": "No. 107", "delta_e_f_ev_per_atom": 0.510}



Magnetization list, top to bottom, in μB per cell: 2.3; 2.4; 1.0; 0.0; 1.0; 2.2; 2.2; 1.2